Entry 1:
# BeSiBr2 GGA-PBE relaxed
# VASP energy (eV for the cell shown): -13.58
# Formation energy (no corrections) (kJ per mole of atoms): -26.2
data_BeSiBr2
_cell_length_a 3.5738
_cell_length_b 4.1079
_cell_length_c 7.7707
_cell_angle_alpha 90.00
_cell_angle_beta 102.83
_cell_angle_gamma 90.00
_symmetry_space_group_name_H-M 'P 1 m 1'
_symmetry_Int_Tables_number 6
loop_
_symmetry_equiv_pos_as_xyz
'x,y,z'
'x,-y,z'
loop_
_atom_site_label
_atom_site_type_symbol
_atom_site_fract_x
_atom_site_fract_y
_atom_site_fract_z
_atom_site_occupancy
Be1 Be 0.0000 0.0000 0.0000 1
Si1 Si 0.0571 0.5000 0.1197 1
Br1 Br 0.4107 0.0000 0.8158 1
Br2 Br 0.6668 0.5000 0.3468 1

Entry 2:
# BeSiBr2 GGA-PBE relaxed
# VASP energy (eV for the cell shown): -36.82
# Formation energy (no corrections) (kJ per mole of atoms): 5.4
data_BeSiBr2
_cell_length_a 3.3166
_cell_length_b 3.3166
_cell_length_c 36.8978
_cell_angle_alpha 90.00
_cell_angle_beta 90.00
_cell_angle_gamma 120.00
_symmetry_space_group_name_H-M 'R -3 m'
_symmetry_Int_Tables_number 166
_symmetry_space_group_name_Hall '-R 3 2"'
loop_
_atom_site_label
_atom_site_type_symbol
_atom_site_fract_x
_atom_site_fract_y
_atom_site_fract_z
_atom_site_occupancy
Be1 Be 0.0000 0.0000 0.0000 1
Si1 Si 0.0000 0.0000 0.5000 1
Br1 Br 0.0000 0.0000 0.2952 1